Version w
! HoSb2Pd7, optimized geometry, DFT PBE; values from VASP
&SYSTEM
  ibrav = 0, nat = 10, ntyp = 3
/
ATOMIC_SPECIES
Ho 164.93 Ho.upf
Sb 121.76 Sb.upf
Pd 106.42 Pd.upf
ATOMIC_POSITIONS angstrom
Ho 0.000 0.000 0.000
Sb 0.000 0.000 7.295
Sb 0.000 0.000 14.832
Pd 2.062 0.000 2.067
Pd 2.062 0.000 5.532
Pd 2.062 0.000 8.996
Pd 0.000 0.000 11.063
Pd 0.000 2.062 2.067
Pd 0.000 2.062 5.532
Pd 0.000 2.062 8.996
CELL_PARAMETERS angstrom
-2.062 2.062 11.063
2.062 -2.062 11.063
2.062 2.062 -11.063
! space group: I4/mmm, No. 139

Version x
! HoSb2Pd7, optimized geometry, DFT PBE; values from VASP
&SYSTEM
  ibrav = 0, nat = 10, ntyp = 3
/
ATOMIC_SPECIES
Ho 164.93 Ho.upf
Sb 121.76 Sb.upf
Pd 106.42 Pd.upf
ATOMIC_POSITIONS angstrom
Ho 0.000 0.000 0.000
Sb 3.748 2.567 2.259
Sb 3.748 -2.567 2.259
Pd 1.356 1.435 2.259
Pd 3.748 3.776 0.000
Pd 1.356 -1.435 2.259
Pd 3.748 0.000 2.259
Pd 6.140 1.435 2.259
Pd 3.748 -3.776 0.000
Pd 6.140 -1.435 2.259
CELL_PARAMETERS angstrom
3.748 -6.511 0.000
3.748 6.511 0.000
0.000 0.000 4.518
! space group: Cmmm, No. 65

Which structure is the least stable? The one labeled version x.

Version w
! Ho7Sb2Pd2, optimized geometry, DFT PBE; values from VASP
&SYSTEM
  ibrav = 0, nat = 11, ntyp = 3
/
ATOMIC_SPECIES
Ho 164.93 Ho.upf
Sb 121.76 Sb.upf
Pd 106.42 Pd.upf
ATOMIC_POSITIONS angstrom
Ho 0.000 0.000 0.000
Ho 2.156 2.698 1.749
Ho 2.156 2.698 5.147
Ho 2.156 -2.698 1.749
Ho 2.156 -2.698 5.147
Ho 4.312 0.000 1.664
Ho 4.312 0.000 5.232
Sb 1.698 0.000 3.448
Sb 6.925 0.000 3.448
Pd 4.312 2.377 0.000
Pd 4.312 -2.377 0.000
CELL_PARAMETERS angstrom
4.312 -5.396 0.000
4.312 5.396 0.000
0.000 0.000 6.896
! space group: Cmmm, No. 65

Version x
! Ho7Sb2Pd2, optimized geometry, DFT PBE; values from VASP
&SYSTEM
  ibrav = 0, nat = 11, ntyp = 3
/
ATOMIC_SPECIES
Ho 164.93 Ho.upf
Sb 121.76 Sb.upf
Pd 106.42 Pd.upf
ATOMIC_POSITIONS angstrom
Ho 0.000 0.000 0.000
Ho 1.994 2.877 -1.211
Ho 1.994 -2.214 2.255
Ho 1.994 2.214 2.255
Ho 1.994 5.895 0.799
Ho 0.000 4.919 3.601
Ho 0.000 1.901 5.610
Sb 0.000 0.000 3.174
Sb 0.000 7.796 2.341
Pd 0.000 3.712 0.649
Pd 0.000 11.879 0.649
CELL_PARAMETERS angstrom
-1.994 7.796 4.812
1.994 -7.796 4.812
1.994 7.796 -4.812
! space group: Imm2, No. 44

Which structure is the least stable? The one labeled version w.

Version w
! HoScPd2, optimized geometry, DFT PBE; values from VASP
&SYSTEM
  ibrav = 0, nat = 8, ntyp = 3
/
ATOMIC_SPECIES
Ho 164.93 Ho.upf
Sc 44.96 Sc.upf
Pd 106.42 Pd.upf
ATOMIC_POSITIONS angstrom
Ho 0.000 1.145 3.743
Ho 1.773 3.434 6.178
Sc -0.001 3.434 1.115
Sc 1.774 1.145 8.806
Pd 0.006 1.145 6.692
Pd 0.006 3.434 8.801
Pd 1.767 1.145 1.121
Pd 1.767 3.434 3.230
CELL_PARAMETERS angstrom
3.535 0.000 0.000
0.000 4.579 0.000
-1.762 0.000 9.922
! space group: P2_1/m, No. 11

Version x
! HoScPd2, optimized geometry, DFT PBE; values from VASP
&SYSTEM
  ibrav = 0, nat = 4, ntyp = 3
/
ATOMIC_SPECIES
Ho 164.93 Ho.upf
Sc 44.96 Sc.upf
Pd 106.42 Pd.upf
ATOMIC_POSITIONS angstrom
Ho 0.000 0.000 0.000
Sc 2.432 2.432 0.000
Pd 0.000 2.432 1.668
Pd 2.432 0.000 1.668
CELL_PARAMETERS angstrom
4.864 0.000 0.000
0.000 4.864 0.000
0.000 0.000 3.335
! space group: P4/mmm, No. 123

Which structure is the least stable? The one labeled version x.